(1)
8
Lattice="-1.3116 -4.5658 2.1977 3.5135 -3.8686 0.2929 3.3619 0.1616 8.5749" Properties=species:S:1:pos:R:3 comment="PBE TbPm2MgHg4, relaxed" sg="R-3m, No. 166" delta_e_f_ev_per_atom=-0.47 magnetic_moment_mub_per_atom=0.000 pbc="T T T"
Tb 0.0000 0.0000 0.0000
Pm 4.1287 -6.2546 8.1689
Pm 1.4351 -2.0182 2.8966
Mg 2.7819 -4.1364 5.5327
Hg 3.7908 -2.9950 8.5060
Hg 3.1784 -7.3296 5.3685
Hg 2.3854 -0.9432 5.6970
Hg 1.7730 -5.2778 2.5595

(2)
4
Lattice="-4.4300 2.9151 1.1160 -4.8111 -2.4511 0.4625 -2.3699 -0.4229 4.8552" Properties=species:S:1:pos:R:3 comment="PBE PmThMgHg, relaxed" sg="F-43m, No. 216" delta_e_f_ev_per_atom=-0.12 magnetic_moment_mub_per_atom=0.000 pbc="T T T"
Mg -5.8055 0.0206 3.2168
Hg 0.0000 0.0000 0.0000
Th -8.7082 0.0309 4.8253
Pm -2.9027 0.0103 1.6084

(3)
4
Lattice="5.3288 0.0000 0.0000 2.6644 4.6149 0.0000 2.6644 1.5383 4.3509" Properties=species:S:1:pos:R:3 comment="PBE PmTmMgHg, relaxed" sg="F-43m, No. 216" delta_e_f_ev_per_atom=-0.26 magnetic_moment_mub_per_atom=0.001 pbc="T T T"
Mg 2.6644 1.5383 1.0877
Tm 0.0000 0.0000 0.0000
Hg 7.9932 4.6149 3.2632
Pm 5.3288 3.0766 2.1755

(4)
8
Lattice="-0.9824 -3.7532 -3.2812 3.5002 -3.5727 -0.8955 -2.2881 -7.0665 4.8339" Properties=species:S:1:pos:R:3 comment="PBE PmTmMg2Hg4, relaxed" sg="R-3m, No. 166" delta_e_f_ev_per_atom=-0.46 magnetic_moment_mub_per_atom=0.000 pbc="T T T"
Pm 0.0000 0.0000 0.0000
Tm 0.1149 -7.1962 0.3286
Mg 0.1765 -10.7880 0.4844
Mg 0.0532 -3.6044 0.1728
Hg -1.0243 -8.8807 2.5965
Hg 1.3226 -9.0933 -1.7972
Hg -1.0929 -5.2991 2.4544
Hg 1.2540 -5.5117 -1.9393

(5)
4
Lattice="3.7606 0.0000 0.0000 0.0000 3.7606 0.0000 0.0000 0.0000 7.5741" Properties=species:S:1:pos:R:3 comment="PBE PmTmMgHg, relaxed" sg="P4mm, No. 99" delta_e_f_ev_per_atom=-0.27 magnetic_moment_mub_per_atom=0.000 pbc="T T T"
Pm 0.0000 0.0000 6.4982
Tm 0.0000 0.0000 2.6513
Mg 1.8803 1.8803 4.4883
Hg 1.8803 1.8803 0.9647

(6)
8
Lattice="-2.9359 -4.1689 -0.3387 -0.1161 -2.6977 -4.3385 5.3450 -6.9933 1.1959" Properties=species:S:1:pos:R:3 comment="PBE PmYMg2Hg4, relaxed" sg="R-3m, No. 166" delta_e_f_ev_per_atom=-0.47 magnetic_moment_mub_per_atom=0.000 pbc="T T T"
Pm 0.0000 0.0000 0.0000
Y 1.1465 -6.9300 -1.7407
Mg 1.7128 -10.3898 -2.6141
Mg 0.5802 -3.4701 -0.8673
Hg 3.4952 -8.6667 -0.7237
Hg -0.6375 -8.6519 -3.6318
Hg 2.9305 -5.2080 0.1504
Hg -1.2022 -5.1933 -2.7577

(7)
8
Lattice="-3.3099 1.0974 3.8087 -4.5184 -2.4832 0.2895 1.0979 -6.6250 6.3636" Properties=species:S:1:pos:R:3 comment="PBE PmY2MgHg4, relaxed" sg="R-3m, No. 166" delta_e_f_ev_per_atom=-0.46 magnetic_moment_mub_per_atom=0.000 pbc="T T T"
Pm 0.0000 0.0000 0.0000
Y -5.1196 -5.8888 7.7496
Y -1.6108 -2.1220 2.7122
Mg -3.3652 -4.0054 5.2309
Hg -2.0014 -6.2725 7.0693
Hg -6.4321 -3.7069 5.9803
Hg -0.2983 -4.3039 4.4815
Hg -4.7290 -1.7383 3.3925

(8)
4
Lattice="5.3662 0.0000 0.0000 2.6831 4.6473 0.0000 2.6831 1.5491 4.3815" Properties=species:S:1:pos:R:3 comment="PBE PmYMgHg, relaxed" sg="F-43m, No. 216" delta_e_f_ev_per_atom=-0.28 magnetic_moment_mub_per_atom=0.080 pbc="T T T"
Y 8.0493 4.6473 3.2861
Mg 5.3662 3.0982 2.1907
Hg 0.0000 0.0000 0.0000
Pm 2.6831 1.5491 1.0954

(9)
4
Lattice="-2.7905 -2.5895 0.0729 2.1232 -2.3476 -2.1163 2.9373 -2.9890 6.2624" Properties=species:S:1:pos:R:3 comment="PBE PmYMgHg, relaxed" sg="P4mm, No. 99" delta_e_f_ev_per_atom=-0.30 magnetic_moment_mub_per_atom=0.000 pbc="T T T"
Pm 2.5225 -2.5669 5.3781
Y 1.0368 -1.0551 2.2106
Mg 1.4239 -4.2571 2.7256
Hg 0.0123 -2.8206 -0.2841

(10)
8
Lattice="-2.8517 -3.0765 -3.3331 -1.7039 -4.8208 1.6012 -8.8924 0.9660 2.4101" Properties=species:S:1:pos:R:3 comment="PBE Pm4MgZnHg2, relaxed" sg="R-3m, No. 166" delta_e_f_ev_per_atom=-0.34 magnetic_moment_mub_per_atom=0.130 pbc="T T T"
Pm -9.3332 -2.1923 1.3961
Pm -7.4539 -6.4830 -0.5578
Pm -5.9941 -0.4483 1.2359
Pm -4.1148 -4.7390 -0.7180
Mg 0.0000 0.0000 0.0000
Zn -6.7240 -3.4657 0.3391
Hg -10.2842 -5.1018 0.5889
Hg -3.1638 -1.8296 0.0892

(11)
6
Lattice="-2.1038 2.6221 2.6829 -3.2739 0.2186 -2.7809 -1.0228 -8.3149 3.8766" Properties=species:S:1:pos:R:3 comment="PBE PmMg2ZnHg2, relaxed" sg="I4/mmm, No. 139" delta_e_f_ev_per_atom=0.01 magnetic_moment_mub_per_atom=0.000 pbc="T T T"
Pm -2.6889 1.4204 -0.0490
Mg -3.4928 -3.3379 0.5233
Mg -2.9078 -2.1362 3.2553
Zn 0.0000 0.0000 0.0000
Hg -1.0666 -1.9812 1.0999
Hg -5.3340 -3.4930 2.6787

(12)
8
Lattice="-4.4584 1.5404 1.2841 -1.6444 -0.7836 4.5367 1.3612 7.9460 4.4998" Properties=species:S:1:pos:R:3 comment="PBE PmMg2ZnHg4, relaxed" sg="R-3m, No. 166" delta_e_f_ev_per_atom=-0.25 magnetic_moment_mub_per_atom=0.000 pbc="T T T"
Pm 0.0000 0.0000 0.0000
Mg -3.6192 6.3844 7.6929
Mg -1.1224 2.3185 2.6276
Zn -2.3708 4.3515 5.1603
Hg -1.2134 6.9742 6.0328
Hg -4.8070 3.6930 6.7976
Hg 0.0654 5.0099 3.5230
Hg -3.5283 1.7288 4.2878

(13)
4
Lattice="5.0453 0.0000 0.0000 2.5226 4.3693 0.0000 2.5226 1.4564 4.1194" Properties=species:S:1:pos:R:3 comment="PBE PmMgZnHg, relaxed" sg="F-43m, No. 216" delta_e_f_ev_per_atom=-0.39 magnetic_moment_mub_per_atom=0.000 pbc="T T T"
Mg 7.5679 4.3693 3.0896
Zn 0.0000 0.0000 0.0000
Hg 5.0453 2.9129 2.0597
Pm 2.5226 1.4564 1.0299

(14)
18
Lattice="6.4869 0.0000 0.9502 0.0000 9.7765 0.0000 0.5627 0.0000 9.4750" Properties=species:S:1:pos:R:3 comment="PBE Pr6Mg2Hg, relaxed" sg="P2_1/c, No. 14" delta_e_f_ev_per_atom=-0.01 magnetic_moment_mub_per_atom=0.000 pbc="T T T"
Pr 5.7916 9.3551 2.7193
Pr 6.1026 6.5386 5.8437
Pr 6.4642 6.8353 9.7145
Pr 4.1102 1.9470 5.9234
Pr 4.4718 1.6504 9.7942
Pr 4.2201 4.4668 3.4435
Pr 1.2580 0.4214 7.7059
Pr 0.9470 3.2378 4.5815
Pr 0.5854 2.9412 0.7107
Pr 2.9394 7.8294 4.5019
Pr 2.5778 8.1261 0.6311
Pr 2.8295 5.3097 6.9817
Mg 6.0204 3.9595 8.2418
Mg 4.5540 8.8478 7.3961
Mg 2.4956 0.9287 3.0292
Mg 1.0292 5.8169 2.1834
Hg 3.2434 4.8882 0.4751
Hg 0.2814 0.0000 4.7375